Entry 1:
Here is a relaxed Rb2TlHgPt crystal from Alexandria via LeMat-Bulk. Energies are from GGA-PBE.

## Properties
Formation energy = -8 kJ/mol of atoms
D(E_F) = 3.09 states/eV per cell
Calculated volume = 224.4 Å³/cell

a b c (Å): 6.521 6.521 5.278
angles (deg): 90.00 90.00 90.00
Fractional coordinates of all 5 atoms:
Pt: 0.000 0.000 0.000
Rb: 0.500 0.000 0.000
Rb: 0.000 0.500 0.000
Tl: 0.000 0.000 0.500
Hg: 0.500 0.500 0.500



Entry 2:
Here is a relaxed RbTl2HgPt crystal from Alexandria via LeMat-Bulk. Energies are from GGA-PBE.

## Properties
Formation energy = -13 kJ/mol of atoms
D(E_F) = 3.02 states/eV per cell
E above lowest polymorph = 0.000 eV per atom
Calculated volume = 162.3 Å³/cell

a b c (Å): 5.437 5.437 5.492
angles (deg): 90.00 90.00 90.00
Fractional coordinates of all 5 atoms:
Hg: 0.000 0.000 0.500
Rb: 0.500 0.500 0.500
Pt: 0.000 0.000 0.000
Tl: 0.000 0.500 0.000
Tl: 0.500 0.000 0.000



Entry 3:
Here is a relaxed RbTl2HgPt crystal from Alexandria via LeMat-Bulk. Energies are from GGA-PBE.

## Properties
Formation energy = -9 kJ/mol of atoms
D(E_F) = 3.38 states/eV per cell
E above lowest polymorph = 0.044 eV per atom
Calculated volume = 187.3 Å³/cell

a b c (Å): 5.324 5.324 6.608
angles (deg): 90.00 90.00 90.00
Fractional coordinates of all 5 atoms:
Tl: 0.000 0.500 0.000
Tl: 0.500 0.000 0.000
Rb: 0.000 0.000 0.500
Pt: 0.000 0.000 0.000
Hg: 0.500 0.500 0.500



Entry 4:
Here is a relaxed Rb2Tl2Hg4Pt crystal from Alexandria via LeMat-Bulk. Energies are from GGA-PBE.

## Properties
Formation energy = -14 kJ/mol of atoms
D(E_F) = 3.78 states/eV per cell
Calculated volume = 285.9 Å³/cell

a b c (Å): 7.243 7.243 7.243
angles (deg): 99.43 114.71 114.71
Fractional coordinates of all 9 atoms:
Tl: 0.000 0.306 0.306
Tl: 0.000 0.694 0.694
Hg: 0.000 0.251 0.749
Hg: 0.000 0.749 0.251
Hg: 0.498 0.749 0.749
Hg: 0.502 0.251 0.251
Rb: 0.500 0.250 0.750
Rb: 0.500 0.750 0.250
Pt: 0.000 0.000 0.000



Entry 5:
Here is a relaxed Rb2Tl2HgPt crystal from Alexandria via LeMat-Bulk. Energies are from GGA-PBE.

## Properties
Formation energy = -16 kJ/mol of atoms
D(E_F) = 3.79 states/eV per cell
Calculated volume = 448.7 Å³/cell

a b c (Å): 7.889 7.349 9.432
angles (deg): 112.93 114.72 90.00
Fractional coordinates of all 12 atoms:
Hg: 0.000 0.250 0.000
Hg: 0.000 0.750 0.000
Rb: 0.412 0.160 0.320
Rb: 0.092 0.340 0.680
Rb: 0.908 0.660 0.320
Rb: 0.588 0.840 0.680
Tl: 0.376 0.585 0.170
Tl: 0.794 0.085 0.170
Tl: 0.624 0.415 0.830
Tl: 0.206 0.915 0.830
Pt: 0.500 0.250 0.000
Pt: 0.500 0.750 0.000



Entry 6:
Here is a relaxed Rb4TlHg12Pt3 crystal from Alexandria via LeMat-Bulk. Energies are from GGA-PBE.

## Properties
Formation energy = -19 kJ/mol of atoms
D(E_F) = 5.67 states/eV per cell
Calculated volume = 668.6 Å³/cell

a b c (Å): 9.541 9.541 9.541
angles (deg): 109.47 109.47 109.47
Fractional coordinates of all 20 atoms:
Hg: 0.500 0.750 0.250
Hg: 0.500 0.250 0.750
Hg: 0.261 0.000 0.261
Hg: 0.250 0.750 0.500
Hg: 0.000 0.739 0.739
Hg: 0.261 0.261 0.000
Hg: 0.750 0.500 0.250
Hg: 0.000 0.261 0.261
Hg: 0.739 0.000 0.739
Hg: 0.750 0.250 0.500
Hg: 0.739 0.739 0.000
Hg: 0.250 0.500 0.750
Pt: 0.500 0.500 0.000
Pt: 0.000 0.500 0.500
Pt: 0.500 0.000 0.500
Tl: 0.000 0.000 0.000
Rb: 0.500 0.000 0.000
Rb: 0.000 0.000 0.500
Rb: 0.500 0.500 0.500
Rb: 0.000 0.500 0.000



Entry 7:
Here is a relaxed Rb2ZnHgPt crystal from Alexandria via LeMat-Bulk. Energies are from GGA-PBE.

## Properties
Formation energy = -8 kJ/mol of atoms
D(E_F) = 2.17 states/eV per cell
Calculated volume = 205.7 Å³/cell

a b c (Å): 6.504 6.504 4.863
angles (deg): 90.00 90.00 90.00
Fractional coordinates of all 5 atoms:
Rb: 0.500 0.000 0.000
Rb: 0.000 0.500 0.000
Pt: 0.000 0.000 0.000
Hg: 0.500 0.500 0.500
Zn: 0.000 0.000 0.500



Entry 8:
Here is a relaxed RbZn2HgPt crystal from Alexandria via LeMat-Bulk. Energies are from GGA-PBE.

## Properties
Formation energy = -27 kJ/mol of atoms
D(E_F) = 1.18 states/eV per cell
Calculated volume = 135.0 Å³/cell

a b c (Å): 4.999 4.999 5.402
angles (deg): 90.00 90.00 90.00
Fractional coordinates of all 5 atoms:
Zn: 0.000 0.500 0.000
Zn: 0.500 0.000 0.000
Pt: 0.000 0.000 0.000
Hg: 0.000 0.000 0.500
Rb: 0.500 0.500 0.500



Total magnetic moment
In order: 0.000; 0.000; 0.000; 0.000; 0.000; 0.000; 0.042; 0.000
Unit: μB/atom